w) Here is crystalline CuAsSe4 at its relaxed geometry from Alexandria. Energies are from PBE.

abc: 5.1773 7.1314 7.2882
angles: 90.00 90.00 89.54
Closest atoms and distances in Å follow each position.
Element x y z (fractional)
Cu1 0.5000 0.2500 0.0889  6 Se 2.54-2.78
Cu2 0.5000 0.7500 0.9111  6 Se 2.54-2.78
As1 0.0000 0.2500 0.6362  6 Se 2.71-2.90
As2 0.0000 0.7500 0.3638  6 Se 2.71-2.90
Se1 0.2006 0.5339 0.0929  1 Se 2.53, 2 Cu 2.54-2.56, 1 As 2.71
Se2 0.3349 0.5422 0.6103  1 Se 2.42
Se3 0.7994 0.9661 0.0929  1 Se 2.53, 2 Cu 2.54-2.56, 1 As 2.71
Se4 0.6651 0.4578 0.3897  1 Se 2.42
Se5 0.6651 0.9578 0.6103  1 Se 2.42
Se6 0.2006 0.0339 0.9071  1 Se 2.53, 2 Cu 2.54-2.56, 1 As 2.71
Se7 0.3349 0.0422 0.3897  1 Se 2.42
Se8 0.7994 0.4661 0.9071  1 Se 2.53, 2 Cu 2.54-2.56, 1 As 2.71

=====

x) Here is crystalline CuAsSe4 at its relaxed geometry from Alexandria. Energies are from PBE.

abc: 5.6323 5.6323 5.6323
angles: 60.00 60.00 60.00
Closest atoms and distances in Å follow each position.
Element x y z (fractional)
Cu1 0.0000 0.0000 0.0000  12 Se 3.30, 4 As 3.45
As1 0.7500 0.7500 0.7500  12 Se 3.30, 4 Cu 3.45
Se1 0.8750 0.3750 0.3750  6 Se 2.82
Se2 0.3750 0.3750 0.8750  6 Se 2.82
Se3 0.3750 0.8750 0.3750  6 Se 2.82
Se4 0.3750 0.3750 0.3750  6 Se 2.82

=====

Which is most stable, and by how much? w), by 77.6 kJ/mol of atoms.